(1)
Material: TmAgSn
Method: DFT, PBE
State: relaxed

The structure belongs to space group F-43m (No. 216); the cell edges are 6.8376, 6.8376 and 6.8376 Å and the angles 90.00°, 90.00° and 90.00°. The distinct sites, in fractional coordinates, are Tm at (0.0000, 0.0000, 0.0000), Ag at (0.0000, 0.0000, 0.5000) and Sn at (0.2500, 0.2500, 0.7500).

The raw total energy is -49.1 eV/cell.



(2)
Material: CdFeBiPt
Method: DFT, PBE
State: relaxed

The structure belongs to space group F-43m (No. 216); the cell edges are 6.7017, 6.7017 and 6.7017 Å and the angles 90.00°, 90.00° and 90.00°. The distinct sites, in fractional coordinates, are Cd at (0.0000, 0.0000, 0.0000), Fe at (0.2500, 0.2500, 0.7500), Bi at (0.0000, 0.0000, 0.5000) and Pt at (0.2500, 0.2500, 0.2500).

The value obtained for the energy above the lowest structure with this stoichiometry is 0 meV per atom.



(3)
Material: LaAlGe2Pt
Method: DFT, PBE
State: relaxed

The structure belongs to space group I4mm (No. 107); the cell edges are 4.5123, 4.5123 and 10.0469 Å and the angles 90.00°, 90.00° and 90.00°. The distinct sites, in fractional coordinates, are La at (0.0000, 0.0000, 0.0000), Al at (0.0000, 0.0000, 0.6017), Ge at (0.0000, 0.5000, 0.2444) and Pt at (0.0000, 0.0000, 0.3604).

The raw total energy is -56.0 eV/cell.



(4)
Material: Mg2Nb
Method: DFT, PBE
State: relaxed

The structure belongs to space group P2_1/m (No. 11); the cell edges are 8.4143, 4.9557 and 12.3115 Å and the angles 90.00°, 102.42° and 90.00°. The distinct sites, in fractional coordinates, are Mg at (0.0602, 0.2500, 0.0716), Mg at (0.0616, 0.2500, 0.5794), Mg at (0.0676, 0.2500, 0.8229), Mg at (0.0708, 0.2500, 0.3240), Mg at (0.2807, 0.7500, 0.5961), Mg at (0.2861, 0.7500, 0.8435), Mg at (0.3924, 0.2500, 0.4903), Mg at (0.3922, 0.2500, 0.9938), Nb at (0.2781, 0.7500, 0.1107), Nb at (0.2808, 0.7500, 0.3240), Nb at (0.3884, 0.2500, 0.2415) and Nb at (0.4329, 0.2500, 0.7492).

The raw total energy is -100.7 eV/cell.



(5)
Material: DyCd3Pt4O12
Method: DFT, PBE
State: relaxed

The structure belongs to space group Im-3 (No. 204); the cell edges are 7.8082, 7.8082 and 7.8082 Å and the angles 90.00°, 90.00° and 90.00°. The distinct sites, in fractional coordinates, are Dy at (0.0000, 0.0000, 0.0000), Cd at (0.0000, 0.0000, 0.5000), Pt at (0.2500, 0.2500, 0.2500) and O at (0.0000, 0.1758, 0.2793).

The raw total energy is -218.6 eV/cell.



(6)
Material: HfAgHg
Method: DFT, PBE
State: relaxed

The structure belongs to space group P4/mmm (No. 123); the cell edges are 3.4550, 3.4550 and 10.0095 Å and the angles 90.00°, 90.00° and 90.00°. The distinct sites, in fractional coordinates, are Hf at (0.0000, 0.0000, 0.0000), Hf at (0.5000, 0.5000, 0.5000), Ag at (0.0000, 0.0000, 0.3404) and Hg at (0.5000, 0.5000, 0.1780).

The value obtained for the energy above the lowest structure with this stoichiometry is 0 meV per atom. As for the formation energy: 77 meV per atom.



(7)
Material: CoSiSn
Method: DFT, PBE
State: relaxed

The structure belongs to space group P4_2/mmc (No. 131); the cell edges are 4.0811, 4.0811 and 5.8825 Å and the angles 90.00°, 90.00° and 90.00°. The distinct sites, in fractional coordinates, are Co at (0.0000, 0.5000, 0.0000), Si at (0.0000, 0.0000, 0.2500) and Sn at (0.5000, 0.5000, 0.2500).

The raw total energy is -33.4 eV/cell.



(8)
Material: Gd2DyFe7Ni2
Method: DFT, PBE
State: relaxed

The structure belongs to space group R-3m (No. 166, hexagonal axes); the cell edges are 5.0198, 5.0198 and 24.7330 Å and the angles 90.00°, 90.00° and 120.00°. The distinct sites, in fractional coordinates, are Gd at (0.0000, 0.0000, 0.1417), Dy at (0.0000, 0.0000, 0.0000), Fe at (0.0000, 0.0000, 0.5000), Fe at (0.0018, 0.5009, 0.0816) and Ni at (0.0000, 0.0000, 0.3325).

As for the formation energy: -103 meV per atom.



(9)
Material: TbHoGa4Ni2
Method: DFT, PBE
State: relaxed

The structure belongs to space group Amm2 (No. 38); the cell edges are 6.6868, 4.1126 and 10.1105 Å and the angles 90.00°, 90.00° and 90.00°. The distinct sites, in fractional coordinates, are Tb at (0.0000, 0.0000, 0.0000), Ho at (0.5000, 0.0000, 0.8595), Ga at (0.1965, 0.0000, 0.2843), Ga at (0.3044, 0.0000, 0.5760), Ni at (0.0000, 0.0000, 0.7184) and Ni at (0.5000, 0.0000, 0.1410).

The raw total energy is -75.4 eV/cell.



(10)
Material: BaAgTeCl
Method: DFT, PBE
State: relaxed

The structure belongs to space group P4/nmm (No. 129, origin choice 2); the cell edges are 4.8491, 4.8491 and 10.1487 Å and the angles 90.00°, 90.00° and 90.00°. The distinct sites, in fractional coordinates, are Ba at (0.2500, 0.2500, 0.1915), Ag at (0.2500, 0.7500, 0.5000), Te at (0.2500, 0.2500, 0.6643) and Cl at (0.2500, 0.7500, 0.0000).

The raw total energy is -30.9 eV/cell.



(11)
Material: LiHfTaFe
Method: DFT, PBE
State: relaxed

The structure belongs to space group F-43m (No. 216); the cell edges are 6.2301, 6.2301 and 6.2301 Å and the angles 90.00°, 90.00° and 90.00°. The distinct sites, in fractional coordinates, are Li at (0.0000, 0.0000, 0.0000), Hf at (0.2500, 0.2500, 0.7500), Ta at (0.2500, 0.2500, 0.2500) and Fe at (0.0000, 0.0000, 0.5000).

The value obtained for the energy above the lowest structure with this stoichiometry is 0 meV per atom.



(12)
Material: B2W4C5
Method: DFT, PBE
State: relaxed

The structure belongs to space group P-3m1 (No. 164); the cell edges are 2.7673, 2.7673 and 18.2847 Å and the angles 90.00°, 90.00° and 120.00°. The distinct sites, in fractional coordinates, are B at (0.3333, 0.6667, 0.0000), W at (0.0000, 0.0000, 0.0966), W at (0.3333, 0.6667, 0.5787), C at (0.0000, 0.0000, 0.5000), C at (0.3333, 0.6667, 0.3049) and C at (0.3333, 0.6667, 0.6986).

The raw total energy is -103.7 eV/cell.



(13)
Material: Nd4I5N
Method: DFT, PBE
State: relaxed

The structure belongs to space group C2/m (No. 12); the cell edges are 19.2957, 4.0345 and 8.8283 Å and the angles 90.00°, 102.71° and 90.00°. The distinct sites, in fractional coordinates, are Nd at (0.0012, 0.0000, 0.3075), Nd at (0.1299, 0.5000, 0.5639), I at (0.0000, 0.5000, 0.0000), I at (0.1638, 0.0000, 0.8438), I at (0.1693, 0.0000, 0.3181) and N at (0.0000, 0.5000, 0.5000).

The raw total energy is -96.5 eV/cell.



(14)
Material: SrBi2Pd3
Method: DFT, PBE
State: relaxed

The structure belongs to space group C2/m (No. 12); the cell edges are 17.3301, 4.8468 and 6.6886 Å and the angles 90.00°, 99.33° and 90.00°. The distinct sites, in fractional coordinates, are Sr at (0.1188, 0.0000, 0.1546), Bi at (0.0181, 0.5000, 0.7609), Bi at (0.2287, 0.0000, 0.6934), Pd at (0.0683, 0.0000, 0.6383), Pd at (0.1340, 0.5000, 0.4937) and Pd at (0.2034, 0.5000, 0.9019).

The raw total energy is -114.1 eV/cell.



(15)
Material: Ho2ErLu5
Method: DFT, PBE
State: relaxed

The structure belongs to space group Amm2 (No. 38); the cell edges are 5.4865, 7.0646 and 12.2391 Å and the angles 90.00°, 90.00° and 90.00°. The distinct sites, in fractional coordinates, are Ho at (0.0000, 0.0000, 0.0000), Ho at (0.5000, 0.0000, 0.3329), Er at (0.5000, 0.0000, 0.8328), Lu at (0.0000, 0.0000, 0.5003), Lu at (0.0000, 0.2494, 0.7495) and Lu at (0.5000, 0.2504, 0.0836).

As for the formation energy: 0 meV per atom.



(16)
Material: TmZnAu4
Method: DFT, PBE
State: relaxed

The structure belongs to space group Cm (No. 8); the cell edges are 9.5487, 5.5326 and 5.5284 Å and the angles 90.00°, 125.20° and 90.00°. The distinct sites, in fractional coordinates, are Tm at (0.0000, 0.0000, 0.0000), Zn at (0.2493, 0.5000, 0.2525), Au at (0.1251, 0.2503, 0.6232), Au at (0.3753, 0.0000, 0.1247) and Au at (0.3764, 0.0000, 0.6250).

As for the formation energy: -347 meV per atom.



(17)
Material: CsAgMoS3
Method: DFT, PBE
State: relaxed

The structure belongs to space group P2_1/m (No. 11); the cell edges are 8.5885, 3.8422 and 9.9227 Å and the angles 90.00°, 113.84° and 90.00°. The distinct sites, in fractional coordinates, are Cs at (0.2472, 0.2500, 0.2325), Ag at (0.4325, 0.2500, 0.8885), Mo at (0.1849, 0.7500, 0.6521), S at (0.0183, 0.7500, 0.3805), S at (0.2401, 0.7500, 0.9135) and S at (0.3611, 0.2500, 0.6229).

The value obtained for the energy above the lowest structure with this stoichiometry is 0 meV per atom.



(18)
Material: GdZrAg6
Method: DFT, PBE
State: relaxed

The structure belongs to space group Pmm2 (No. 25); the cell edges are 4.9466, 6.1935 and 5.0864 Å and the angles 90.00°, 90.00° and 90.00°. The distinct sites, in fractional coordinates, are Gd at (0.0000, 0.0000, 0.0000), Zr at (0.5000, 0.5000, 0.6838), Ag at (0.0000, 0.2657, 0.5058), Ag at (0.0000, 0.5000, 0.0091), Ag at (0.5000, 0.0000, 0.6523) and Ag at (0.5000, 0.2574, 0.1786).

As for the formation energy: -151 meV per atom.



(19)
Material: LiErZnSe3
Method: DFT, PBE
State: relaxed

The structure belongs to space group Cmcm (No. 63); the cell edges are 3.9490, 13.0756 and 10.8128 Å and the angles 90.00°, 90.00° and 90.00°. The distinct sites, in fractional coordinates, are Li at (0.0000, 0.2250, 0.2500), Er at (0.0000, 0.0000, 0.0000), Zn at (0.0000, 0.4758, 0.7500), Se at (0.0000, 0.0931, 0.7500) and Se at (0.0000, 0.3581, 0.5743).

The raw total energy is -103.2 eV/cell.



(20)
Material: TlWAuSe3
Method: DFT, PBE
State: relaxed

The structure belongs to space group Cmcm (No. 63); the cell edges are 3.4927, 15.9678 and 9.9684 Å and the angles 90.00°, 90.00° and 90.00°. The distinct sites, in fractional coordinates, are Tl at (0.0000, 0.2434, 0.2500), W at (0.0000, 0.0000, 0.0000), Au at (0.0000, 0.4415, 0.7500), Se at (0.0000, 0.0733, 0.7500) and Se at (0.0000, 0.3795, 0.5191).

The raw total energy is -116.1 eV/cell.